A relaxed ThZn7 crystal. Source: the Alexandria database, functional GGA-PBE.

```
8
Lattice="-3.156 2.137 1.463 -5.306 -3.385 -0.857 -1.988 -2.749 5.371" Properties=species:S:1:pos:R:3 pbc="T T T"
Zn -6.406 -3.265 2.269
Zn -5.189 -3.031 4.553
Zn -2.595 -0.970 1.482
Zn -7.856 -3.027 4.495
Zn -5.261 -0.965 1.424
Zn -4.044 -0.732 3.708
Zn -3.647 -3.067 2.257
Th 0.000 0.000 0.000
```

* space group: C2/m, No. 12
* magnetization: 0.000 μB/atom

A relaxed Na3ScAl crystal. Source: the Alexandria database, functional GGA-PBE.

```
5
Lattice="-1.987 1.717 5.448 -4.548 -3.966 -0.409 3.457 -4.232 2.594" Properties=species:S:1:pos:R:3 pbc="T T T"
Al -1.539 -3.240 3.817
Na 1.728 -2.116 1.297
Na -0.994 0.858 2.724
Na -2.274 -1.983 -0.205
Sc 0.000 0.000 0.000
```

* space group: Pm-3m, No. 221
* magnetization: 0.285 μB/atom

Calculated DFT formation energy in order - -1.4; 5.6 eV/f.u.